Computed, not measured: a geometry-optimized La4Hg3Ge structure at the PBE level of DFT.

a = 3.9288 Å, b = 3.9288 Å, c = 15.0665 Å
α = 90.00°, β = 90.00°, γ = 90.00°
Last column: nearest neighbours and their distance in Å.
Sites, in units of the cell vectors:
Ge  0.5000  0.5000  0.0000  8 La 3.20
Hg  0.5000  0.5000  0.2426  8 La 3.37-3.47, 1 Ge 3.65
Hg  0.5000  0.5000  0.5000  8 La 3.40
Hg  0.5000  0.5000  0.7574  8 La 3.37-3.47, 1 Ge 3.65
La  0.0000  0.0000  0.8951  1 La 3.16, 4 Ge 3.20, 4 Hg 3.47
La  0.0000  0.0000  0.1049  1 La 3.16, 4 Ge 3.20, 4 Hg 3.47
La  0.0000  0.0000  0.3697  8 Hg 3.37-3.40
La  0.0000  0.0000  0.6303  8 Hg 3.37-3.40

Calculated values
Space group: P4/mmm (123)

---

Computed, not measured: a geometry-optimized La2HgGe2 structure at the PBE level of DFT.

a = 6.0030 Å, b = 6.0030 Å, c = 5.8774 Å
α = 59.29°, β = 59.29°, γ = 90.00°
Last column: nearest neighbours and their distance in Å.
Sites, in units of the cell vectors:
Ge  0.3424  0.3424  0.3151  1 Ge 2.56, 1 Hg 2.78
Ge  0.6576  0.6576  0.6849  1 Ge 2.56, 1 Hg 2.78
Hg  0.0000  0.0000  0.0000  2 Ge 2.78
La  0.7500  0.2500  0.5000  4 Ge 3.09
La  0.2500  0.7500  0.5000  4 Ge 3.09

Calculated values
Space group: I4/mmm (139)

---

Computed, not measured: a geometry-optimized La2HgGe2 structure at the PBE level of DFT.

a = 3.8606 Å, b = 3.8606 Å, c = 9.6262 Å
α = 78.43°, β = 78.43°, γ = 90.00°
Last column: nearest neighbours and their distance in Å.
Sites, in units of the cell vectors:
Ge  0.7500  0.2500  0.5000  4 Ge 2.73
Ge  0.2500  0.7500  0.5000  4 Ge 2.73
Hg  0.0000  0.0000  0.0000  8 La 3.44
La  0.3865  0.3865  0.2270  4 Ge 3.17, 4 Hg 3.44
La  0.6135  0.6135  0.7730  4 Ge 3.17, 4 Hg 3.44

Calculated values
Space group: I4/mmm (139)

---

Computed, not measured: a geometry-optimized La6HgGe2 structure at the PBE level of DFT.

a = 9.0421 Å, b = 9.0421 Å, c = 9.0421 Å
α = 107.46°, β = 109.64°, γ = 111.33°
Last column: nearest neighbours and their distance in Å.
Sites, in units of the cell vectors:
La  0.4463  0.2713  0.1750  3 Ge 3.22-3.30, 1 Hg 3.31
La  0.5537  0.7287  0.8250  3 Ge 3.22-3.30, 1 Hg 3.31
La  0.9037  0.7287  0.1750  3 Ge 3.22-3.30, 1 Hg 3.31
La  0.0963  0.2713  0.8250  3 Ge 3.22-3.30, 1 Hg 3.31
La  0.1997  0.7464  0.9462  2 Ge 3.12-3.41, 2 Hg 3.36-3.42
La  0.8003  0.2536  0.0538  2 Ge 3.12-3.41, 2 Hg 3.36-3.42
La  0.8003  0.7464  0.5467  2 Ge 3.12-3.41, 2 Hg 3.36-3.42
La  0.1997  0.2536  0.4533  2 Ge 3.12-3.41, 2 Hg 3.36-3.42
La  0.2962  0.9667  0.6705  3 Ge 3.06-3.18
La  0.7038  0.0333  0.3295  3 Ge 3.06-3.18
La  0.7038  0.3743  0.6705  3 Ge 3.06-3.18
La  0.2962  0.6257  0.3295  3 Ge 3.06-3.18
Hg  0.0000  0.5000  0.5000  8 La 3.36-3.53
Hg  0.0000  0.0000  0.0000  8 La 3.31-3.42, 2 Ge 3.63
Ge  0.5000  0.3807  0.8807  1 Ge 2.55
Ge  0.5000  0.6193  0.1193  1 Ge 2.55
Ge  0.3484  0.0000  0.3484  8 La 3.12-3.30, 1 Ge 3.16
Ge  0.6516  0.0000  0.6516  8 La 3.12-3.30, 1 Ge 3.16

Calculated values
Space group: Immm (71)

---

Computed, not measured: a geometry-optimized La2Hg2Ge structure at the PBE level of DFT.

a = 6.1752 Å, b = 6.1752 Å, c = 5.9847 Å
α = 58.94°, β = 58.94°, γ = 90.00°
Last column: nearest neighbours and their distance in Å.
Sites, in units of the cell vectors:
Ge  0.0000  0.0000  0.0000  2 Hg 2.76
Hg  0.3367  0.3367  0.3267  1 Hg 2.67, 1 Ge 2.76
Hg  0.6633  0.6633  0.6733  1 Hg 2.67, 1 Ge 2.76
La  0.7500  0.2500  0.5000  4 Hg 3.17
La  0.2500  0.7500  0.5000  4 Hg 3.17

Calculated values
Space group: I4/mmm (139)

---

Computed, not measured: a geometry-optimized La8Hg2Ge structure at the PBE level of DFT.

a = 5.3443 Å, b = 7.1862 Å, c = 10.0905 Å
α = 108.16°, β = 105.36°, γ = 90.00°
Last column: nearest neighbours and their distance in Å.
Sites, in units of the cell vectors:
Ge  0.5000  0.0000  0.0000  8 La 3.15-3.20
Hg  0.1694  0.7328  0.3389  7 La 3.18-3.39
Hg  0.8306  0.2672  0.6611  7 La 3.18-3.39
La  0.5878  0.4605  0.1755  1 Ge 3.20, 2 La 3.37, 2 Hg 3.39
La  0.3384  0.0035  0.6768  1 Ge 3.15, 3 Hg 3.23-3.31, 2 La 3.50
La  0.2040  0.3294  0.4081  1 Hg 3.18, 2 La 3.50
La  0.0071  0.7726  0.0143  2 Ge 3.16, 1 Hg 3.26, 3 La 3.37
La  0.7960  0.6706  0.5919  1 Hg 3.18, 2 La 3.50
La  0.6616  0.9965  0.3232  1 Ge 3.15, 3 Hg 3.23-3.31, 2 La 3.50
La  0.4122  0.5395  0.8245  1 Ge 3.20, 2 La 3.37, 2 Hg 3.39
La  0.9929  0.2274  0.9857  2 Ge 3.16, 1 Hg 3.26, 3 La 3.37

Calculated values
Space group: C2/m (12)

---

Computed, not measured: a geometry-optimized La2Hg2Ge structure at the PBE level of DFT.

a = 8.5344 Å, b = 8.5344 Å, c = 4.1966 Å
α = 90.00°, β = 90.00°, γ = 90.00°
Last column: nearest neighbours and their distance in Å.
Sites, in units of the cell vectors:
Ge  0.0000  0.0000  0.0000  4 La 3.16
Ge  0.5000  0.5000  0.0000  4 La 3.16
Hg  0.1311  0.6311  0.5000  1 Hg 3.16, 6 La 3.17-3.35
Hg  0.6311  0.8689  0.5000  1 Hg 3.16, 6 La 3.17-3.35
Hg  0.8689  0.3689  0.5000  1 Hg 3.16, 6 La 3.17-3.35
Hg  0.3689  0.1311  0.5000  1 Hg 3.16, 6 La 3.17-3.35
La  0.3285  0.8285  0.0000  2 Ge 3.16, 6 Hg 3.17-3.35
La  0.8285  0.6715  0.0000  2 Ge 3.16, 6 Hg 3.17-3.35
La  0.6715  0.1715  0.0000  2 Ge 3.16, 6 Hg 3.17-3.35
La  0.1715  0.3285  0.0000  2 Ge 3.16, 6 Hg 3.17-3.35

Calculated values
Space group: P4/mbm (127)

---

Computed, not measured: a geometry-optimized LaHgGe structure at the PBE level of DFT.

a = 4.3831 Å, b = 4.5522 Å, c = 4.5522 Å
α = 120.00°, β = 90.00°, γ = 90.00°
Last column: nearest neighbours and their distance in Å.
Sites, in units of the cell vectors:
Ge  0.2481  0.3333  0.6667  3 Hg 2.71
Hg  0.0964  0.0000  0.0000  3 Ge 2.71
La  0.6556  0.6667  0.3333  3 Ge 3.18, 3 Hg 3.26

Calculated values
Space group: P3m1 (156)

---

Computed, not measured: a geometry-optimized La2Hg2Ge structure at the PBE level of DFT.

a = 4.1021 Å, b = 4.1021 Å, c = 9.1798 Å
α = 77.09°, β = 77.09°, γ = 90.00°
Last column: nearest neighbours and their distance in Å.
Sites, in units of the cell vectors:
Ge  0.0000  0.0000  0.0000  8 La 3.28
Hg  0.7500  0.2500  0.5000  4 Hg 2.90
Hg  0.2500  0.7500  0.5000  4 Hg 2.90
La  0.4122  0.4122  0.1756  1 La 3.06, 4 Ge 3.28
La  0.5878  0.5878  0.8244  1 La 3.06, 4 Ge 3.28

Calculated values
Space group: I4/mmm (139)

---

Computed, not measured: a geometry-optimized LaHg2Ge2 structure at the PBE level of DFT.

a = 8.2519 Å, b = 8.2519 Å, c = 3.5613 Å
α = 90.00°, β = 90.00°, γ = 90.00°
Last column: nearest neighbours and their distance in Å.
Sites, in units of the cell vectors:
Ge  0.1842  0.6842  0.5000  6 Hg 2.88-3.13
Ge  0.6842  0.8158  0.5000  6 Hg 2.88-3.13
Ge  0.8158  0.3158  0.5000  6 Hg 2.88-3.13
Ge  0.3158  0.1842  0.5000  6 Hg 2.88-3.13
Hg  0.3782  0.8782  0.0000  1 Hg 2.84, 6 Ge 2.88-3.13
Hg  0.8782  0.6218  0.0000  1 Hg 2.84, 6 Ge 2.88-3.13
Hg  0.6218  0.1218  0.0000  1 Hg 2.84, 6 Ge 2.88-3.13
Hg  0.1218  0.3782  0.0000  1 Hg 2.84, 6 Ge 2.88-3.13
La  0.0000  0.0000  0.0000  4 Hg 3.28, 8 Ge 3.50, 2 La 3.56
La  0.5000  0.5000  0.0000  4 Hg 3.28, 8 Ge 3.50, 2 La 3.56

Calculated values
Space group: P4/mbm (127)

---

Computed, not measured: a geometry-optimized La10Hg3Ge3 structure at the PBE level of DFT.

a = 6.7946 Å, b = 9.2157 Å, c = 9.2157 Å
α = 120.00°, β = 90.00°, γ = 90.00°
Last column: nearest neighbours and their distance in Å.
Sites, in units of the cell vectors:
La  0.2794  0.6667  0.3333  1 La 3.00, 3 Ge 3.22
La  0.2794  0.3333  0.6667  1 La 3.00, 3 Ge 3.22
La  0.7206  0.3333  0.6667  1 La 3.00, 3 Ge 3.22
La  0.7206  0.6667  0.3333  1 La 3.00, 3 Ge 3.22
La  0.5000  0.0000  0.7550  3 Ge 3.13-3.38
La  0.5000  0.7550  0.0000  3 Ge 3.13-3.38
La  0.5000  0.2450  0.2450  3 Ge 3.13-3.38
La  0.0000  0.0000  0.2524  3 Hg 3.20-3.24
La  0.0000  0.2524  0.0000  3 Hg 3.20-3.24
La  0.0000  0.7476  0.7476  3 Hg 3.20-3.24
Hg  0.0000  0.0000  0.6036  7 La 3.20-3.40
Hg  0.0000  0.6036  0.0000  7 La 3.20-3.40
Hg  0.0000  0.3964  0.3964  7 La 3.20-3.40
Ge  0.5000  0.0000  0.3877  7 La 3.13-3.38
Ge  0.5000  0.3877  0.0000  7 La 3.13-3.38
Ge  0.5000  0.6123  0.6123  7 La 3.13-3.38

Calculated values
Space group: P-62m (189)

---

Computed, not measured: a geometry-optimized LaHgGe structure at the PBE level of DFT.

a = 4.1462 Å, b = 4.5462 Å, c = 9.0226 Å
α = 104.59°, β = 105.29°, γ = 90.00°
Last column: nearest neighbours and their distance in Å.
Sites, in units of the cell vectors:
La  0.6339  0.9002  0.8005  6 Ge 3.19-3.36, 3 Hg 3.28-3.35
La  0.3661  0.0998  0.1995  6 Ge 3.19-3.36, 3 Hg 3.28-3.35
Hg  0.8512  0.2828  0.5656  1 Ge 2.91, 2 Hg 2.96
Hg  0.1488  0.7172  0.4344  1 Ge 2.91, 2 Hg 2.96
Ge  0.1921  0.4524  0.9048  2 Ge 2.60-2.64
Ge  0.8079  0.5476  0.0952  2 Ge 2.60-2.64

Calculated values
Space group: C2/m (12)

---

| no. | formation energy from the elements (kJ/mol of formula units) |
| --- | --- |
| 1 | -434 |
| 2 | -162 |
| 3 | -212 |
| 4 | -448 |
| 5 | -60 |
| 6 | -340 |
| 7 | -146 |
| 8 | -168 |
| 9 | -176 |
| 10 | -67 |
| 11 | -801 |
| 12 | -184 |